# PBE-GGA LiSnS2, optimized geometry
data_LiSnS2
_chemical_formula_sum 'Li4 Sn4 S8'
_space_group_name_H-M_alt 'I -4 2 d'
_space_group_IT_number 122
_space_group_name_Hall 'I -4 2bw'
_cell_length_a 5.749
_cell_length_b 5.749
_cell_length_c 12.355
_cell_angle_alpha 90.00
_cell_angle_beta 90.00
_cell_angle_gamma 90.00
loop_
_atom_site_label
_atom_site_fract_x
_atom_site_fract_y
_atom_site_fract_z
_atom_site_occupancy
Li1 0.000 0.000 0.000 1
Sn1 0.000 0.000 0.500 1
S1 0.237 0.250 0.125 1
# D(E_F) = 8.9 states/eV/cell
# E_form (uncorrected) = -0.6578 eV per atom

# PBE-GGA KBa4Ge4, optimized geometry
data_KBa4Ge4
_chemical_formula_sum 'K2 Ba8 Ge8'
_space_group_name_H-M_alt 'P 42/n'
_space_group_IT_number 86
_cell_length_a 10.426
_cell_length_b 10.426
_cell_length_c 6.675
_cell_angle_alpha 90.00
_cell_angle_beta 90.00
_cell_angle_gamma 90.00
loop_
_space_group_symop_operation_xyz
'x,y,z'
'-x,-y,-z'
'-y,x+1/2,z+1/2'
'y,-x+1/2,-z+1/2'
'-x+1/2,-y+1/2,z'
'x+1/2,y+1/2,-z'
'y+1/2,-x,z+1/2'
'-y+1/2,x,-z+1/2'
loop_
_atom_site_label
_atom_site_fract_x
_atom_site_fract_y
_atom_site_fract_z
_atom_site_occupancy
K1 0.250 0.250 0.250 1
Ba1 0.068 0.660 0.106 1
Ge1 0.020 0.594 0.608 1
# D(E_F) = 13.0 states/eV/cell
# Energy of formation from the pure elements = -346 meV per atom

# PBE-GGA Cs2ZnSiCl6, optimized geometry
data_Cs2ZnSiCl6
_chemical_formula_sum 'Cs8 Zn4 Si4 Cl24'
_space_group_name_H-M_alt 'F m -3 m'
_space_group_IT_number 225
_space_group_name_Hall '-F 4 2 3'
_cell_length_a 10.321
_cell_length_b 10.321
_cell_length_c 10.321
_cell_angle_alpha 90.00
_cell_angle_beta 90.00
_cell_angle_gamma 90.00
loop_
_atom_site_label
_atom_site_fract_x
_atom_site_fract_y
_atom_site_fract_z
_atom_site_occupancy
Cs1 0.250 0.250 0.250 1
Zn1 0.000 0.000 0.000 1
Si1 0.000 0.000 0.500 1
Cl1 0.000 0.000 0.246 1
# D(E_F) = 0.0 states/eV/cell
# E_form (uncorrected) = -1.2926 eV per atom

# PBE-GGA NbVFeTc, optimized geometry
data_NbVFeTc
_chemical_formula_sum 'Nb4 V4 Fe4 Tc4'
_space_group_name_H-M_alt 'F -4 3 m'
_space_group_IT_number 216
_space_group_name_Hall 'F -4 2 3'
_cell_length_a 6.115
_cell_length_b 6.115
_cell_length_c 6.115
_cell_angle_alpha 90.00
_cell_angle_beta 90.00
_cell_angle_gamma 90.00
loop_
_atom_site_label
_atom_site_fract_x
_atom_site_fract_y
_atom_site_fract_z
_atom_site_occupancy
Nb1 0.000 0.000 0.000 1
V1 0.000 0.000 0.500 1
Fe1 0.250 0.250 0.250 1
Tc1 0.250 0.250 0.750 1
# D(E_F) = 15.2 states/eV/cell
# Energy of formation from the pure elements = -148 meV per atom

# PBE-GGA BeTeOs2, optimized geometry
data_BeTeOs2
_chemical_formula_sum 'Be2 Te2 Os4'
_space_group_name_H-M_alt 'C 1 m 1'
_space_group_IT_number 8
_cell_length_a 8.335
_cell_length_b 3.085
_cell_length_c 5.080
_cell_angle_alpha 90.00
_cell_angle_beta 109.66
_cell_angle_gamma 90.00
loop_
_space_group_symop_operation_xyz
'x,y,z'
'x,-y,z'
'x+1/2,y+1/2,z'
'x+1/2,-y+1/2,z'
loop_
_atom_site_label
_atom_site_fract_x
_atom_site_fract_y
_atom_site_fract_z
_atom_site_occupancy
Be1 0.000 0.000 0.000 1
Te1 0.250 0.000 0.571 1
Os1 0.210 0.500 0.959 1
Os2 0.479 0.000 0.330 1
# D(E_F) = 3.7 states/eV/cell
# Energy relative to the lowest polymorph listed for this composition = 0 meV/atom
# E_form (uncorrected) = 0.4588 eV per atom

# PBE-GGA LaCdGe2S, optimized geometry
data_LaCdGe2S
_chemical_formula_sum 'La1 Cd1 Ge2 S1'
_space_group_name_H-M_alt 'P 4/m m m'
_space_group_IT_number 123
_space_group_name_Hall '-P 4 2'
_cell_length_a 5.074
_cell_length_b 5.074
_cell_length_c 6.483
_cell_angle_alpha 90.00
_cell_angle_beta 90.00
_cell_angle_gamma 90.00
loop_
_atom_site_label
_atom_site_fract_x
_atom_site_fract_y
_atom_site_fract_z
_atom_site_occupancy
La1 0.000 0.000 0.000 1
Cd1 0.000 0.000 0.500 1
Ge1 0.000 0.500 0.500 1
S1 0.500 0.500 0.000 1
# D(E_F) = 6.0 states/eV/cell
# E_form (uncorrected) = 0.3281 eV per atom

# PBE-GGA Mg2InSe, optimized geometry
data_Mg2InSe
_chemical_formula_sum 'Mg4 In2 Se2'
_space_group_name_H-M_alt 'I 4/m m m'
_space_group_IT_number 139
_space_group_name_Hall '-I 4 2'
_cell_length_a 4.558
_cell_length_b 4.558
_cell_length_c 8.799
_cell_angle_alpha 90.00
_cell_angle_beta 90.00
_cell_angle_gamma 90.00
loop_
_atom_site_label
_atom_site_fract_x
_atom_site_fract_y
_atom_site_fract_z
_atom_site_occupancy
Mg1 0.000 0.500 0.250 1
In1 0.000 0.000 0.000 1
Se1 0.000 0.000 0.500 1
# D(E_F) = 2.2 states/eV/cell
# Energy relative to the lowest polymorph listed for this composition = 342 meV/atom
# E_form (uncorrected) = -0.2170 eV per atom

# PBE-GGA DyTm2Tc, optimized geometry
data_DyTm2Tc
_chemical_formula_sum 'Dy4 Tm8 Tc4'
_space_group_name_H-M_alt 'P n m a'
_space_group_IT_number 62
_cell_length_a 7.443
_cell_length_b 9.000
_cell_length_c 6.170
_cell_angle_alpha 90.00
_cell_angle_beta 90.00
_cell_angle_gamma 90.00
loop_
_space_group_symop_operation_xyz
'x,y,z'
'-x,-y,-z'
'-x+1/2,-y,z+1/2'
'x+1/2,y,-z+1/2'
'x+1/2,-y+1/2,-z+1/2'
'-x+1/2,y+1/2,z+1/2'
'-x,y+1/2,-z'
'x,-y+1/2,z'
loop_
_atom_site_label
_atom_site_fract_x
_atom_site_fract_y
_atom_site_fract_z
_atom_site_occupancy
Dy1 0.040 0.250 0.125 1
Tm1 0.176 0.063 0.654 1
Tc1 0.117 0.750 0.453 1
# D(E_F) = 12.7 states/eV/cell
# Energy of formation from the pure elements = -137 meV per atom
# Energy relative to the lowest polymorph listed for this composition = 0 meV/atom

# PBE-GGA K3Sm2ZrS6, optimized geometry
data_K3Sm2ZrS6
_chemical_formula_sum 'K6 Sm4 Zr2 S12'
_space_group_name_H-M_alt 'C 1 2/m 1'
_space_group_IT_number 12
_cell_length_a 6.949
_cell_length_b 12.036
_cell_length_c 7.764
_cell_angle_alpha 90.00
_cell_angle_beta 107.42
_cell_angle_gamma 90.00
loop_
_space_group_symop_operation_xyz
'x,y,z'
'-x,-y,-z'
'-x,y,-z'
'x,-y,z'
'x+1/2,y+1/2,z'
'-x+1/2,-y+1/2,-z'
'-x+1/2,y+1/2,-z'
'x+1/2,-y+1/2,z'
loop_
_atom_site_label
_atom_site_fract_x
_atom_site_fract_y
_atom_site_fract_z
_atom_site_occupancy
K1 0.000 0.000 0.000 1
K2 0.000 0.330 0.000 1
Sm1 0.000 0.166 0.500 1
Zr1 0.000 0.500 0.500 1
S1 0.226 0.342 0.704 1
S2 0.246 0.500 0.296 1
# D(E_F) = 8.7 states/eV/cell
# E_form (uncorrected) = -1.7128 eV per atom

# PBE-GGA KZnI3, optimized geometry
data_KZnI3
_chemical_formula_sum 'K2 Zn2 I6'
_space_group_name_H-M_alt 'P 1 21/m 1'
_space_group_IT_number 11
_cell_length_a 7.555
_cell_length_b 7.840
_cell_length_c 7.718
_cell_angle_alpha 90.00
_cell_angle_beta 110.87
_cell_angle_gamma 90.00
loop_
_space_group_symop_operation_xyz
'x,y,z'
'-x,-y,-z'
'-x,y+1/2,-z'
'x,-y+1/2,z'
loop_
_atom_site_label
_atom_site_fract_x
_atom_site_fract_y
_atom_site_fract_z
_atom_site_occupancy
K1 0.207 0.250 0.258 1
Zn1 0.450 0.750 0.076 1
I1 0.238 0.004 0.846 1
I2 0.355 0.750 0.368 1
# D(E_F) = 0.0 states/eV/cell
# Energy relative to the lowest polymorph listed for this composition = 67 meV/atom
# E_form (uncorrected) = -0.8622 eV per atom

# PBE-GGA CuReRu2, optimized geometry
data_CuReRu2
_chemical_formula_sum 'Cu2 Re2 Ru4'
_space_group_name_H-M_alt 'C m m m'
_space_group_IT_number 65
_space_group_name_Hall '-C 2 2'
_cell_length_a 5.442
_cell_length_b 7.475
_cell_length_c 2.734
_cell_angle_alpha 90.00
_cell_angle_beta 90.00
_cell_angle_gamma 90.00
loop_
_atom_site_label
_atom_site_fract_x
_atom_site_fract_y
_atom_site_fract_z
_atom_site_occupancy
Cu1 0.000 0.000 0.000 1
Re1 0.000 0.500 0.000 1
Ru1 0.250 0.250 0.500 1
# D(E_F) = 9.5 states/eV/cell
# Energy of formation from the pure elements = 260 meV per atom
# Energy relative to the lowest polymorph listed for this composition = 134 meV/atom

# PBE-GGA Pr4Y2Tm3, optimized geometry
data_Pr4Y2Tm3
_chemical_formula_sum 'Pr16 Y8 Tm12'
_space_group_name_H-M_alt 'C 1 2/c 1'
_space_group_IT_number 15
_cell_length_a 16.420
_cell_length_b 11.781
_cell_length_c 6.209
_cell_angle_alpha 90.00
_cell_angle_beta 96.30
_cell_angle_gamma 90.00
loop_
_space_group_symop_operation_xyz
'x,y,z'
'-x,-y,-z'
'-x,y,-z+1/2'
'x,-y,z+1/2'
'x+1/2,y+1/2,z'
'-x+1/2,-y+1/2,-z'
'-x+1/2,y+1/2,-z+1/2'
'x+1/2,-y+1/2,z+1/2'
loop_
_atom_site_label
_atom_site_fract_x
_atom_site_fract_y
_atom_site_fract_z
_atom_site_occupancy
Pr1 0.047 0.142 0.014 1
Pr2 0.214 0.354 0.845 1
Y1 0.118 0.365 0.318 1
Tm1 0.000 0.400 0.750 1
Tm2 0.168 0.099 0.576 1
# D(E_F) = 47.6 states/eV/cell
# Energy of formation from the pure elements = 86 meV per atom
# Energy relative to the lowest polymorph listed for this composition = 0 meV/atom